Record 1
15
Lattice="7.7653 0.0001 -0.0002 -3.8826 6.7250 -0.0235 -0.0002 -4.4604 6.5337" Properties=species:S:1:pos:R:3 comment="LiTm3Th3S8 | the Alexandria database | PBE | optimized geometry" vol_a3_per_cell=340.4 spacegroup="R-3m (166)" raw_formation_energy_ev_per_atom=-1.8843 pbc="T T T"
Tm -1.9414 1.1323 3.2551
Tm 1.9413 1.1323 3.2550
Tm 3.8826 -2.2302 3.2668
S 0.0000 2.2479 1.7620
S 1.9408 -1.1149 1.7385
S 3.8826 2.2489 1.7269
S -1.9418 3.3796 4.7718
S 1.9417 3.3796 4.7716
S 5.8243 -1.1149 1.7383
S 3.8825 0.0168 4.7481
S 0.0000 0.0158 4.7832
Th -1.9413 3.3625 -0.0117
Th 0.0000 0.0000 0.0000
Th 1.9414 3.3626 -0.0118
Li -0.0001 -2.2302 3.2669

=====

Record 2
4
Lattice="-0.1103 3.8553 1.4334 0.4789 -1.4996 4.0703 5.6067 -1.5739 -1.2396" Properties=species:S:1:pos:R:3 comment="Sc2SnBi | the Alexandria database | PBE | optimized geometry" vol_a3_per_cell=100.3 relative_energy_ev_per_atom=0.000 spacegroup="Amm2 (38)" pbc="T T T"
Sn 2.8573 0.3094 2.1174
Bi 5.1257 1.2152 -0.1554
Sc 5.5374 -1.4551 1.1519
Sc 2.5009 2.9820 0.8044

=====

Record 3
14
Lattice="-0.7938 0.6767 -4.0635 -7.4786 -2.7059 -1.1553 -4.4731 6.6742 -0.1804" Properties=species:S:1:pos:R:3 comment="Nd3Si8Tc3 | the Alexandria database | PBE | optimized geometry" vol_a3_per_cell=248.1 spacegroup="Immm (71)" raw_formation_energy_ev_per_atom=-0.4616 pbc="T T T"
Tc -5.1651 4.5147 -0.4048
Tc -6.7867 -0.5464 -0.9309
Tc -0.3969 0.3384 -2.0318
Nd -6.3728 2.3225 -2.6996
Nd -9.9267 3.3709 -1.8307
Nd -2.8188 1.2741 -3.5684
Si -4.1753 4.6542 -2.7406
Si -8.2356 4.4832 -4.1415
Si -3.6962 2.7015 -0.9937
Si -4.5100 0.1618 -1.2577
Si -6.8256 5.4360 -2.0926
Si -5.9200 -0.7910 -3.3065
Si -9.0493 1.9435 -4.4055
Si -8.5703 -0.0092 -2.6586

=====

Record 4
4
Lattice="5.7357 -0.0044 0.0088 3.0664 4.8472 -0.0088 -4.0981 -2.9719 2.6965" Properties=species:S:1:pos:R:3 comment="Zr2RhSe | the Alexandria database | PBE | optimized geometry" vol_a3_per_cell=74.9 spacegroup="Imm2 (44)" raw_formation_energy_ev_per_atom=-0.6818 pbc="T T T"
Zr 8.7827 4.8321 0.0000
Zr 2.9006 -0.3428 1.3526
Se 1.8878 2.2601 1.3438
Rh 4.3359 2.3855 0.0000

=====

Record 5
8
Lattice="-0.3444 3.5631 3.6743 -1.3077 -1.3544 4.7718 7.7228 -0.4539 4.7449" Properties=species:S:1:pos:R:3 comment="SrPm2MgAu4 | the Alexandria database | PBE | optimized geometry" final_energy_ev_per_atom=-3.97 vol_a3_per_cell=195.5 spacegroup="R-3m (166)" pbc="T T T"
Au 1.4489 1.7626 9.1692
Au 0.2780 1.2740 5.9524
Au 4.6219 -0.0079 4.0217
Au 5.7928 0.4807 7.2385
Mg 3.0354 0.8774 6.5954
Pm 1.7126 0.4107 3.3432
Pm 4.3582 1.3441 9.8477
Sr 0.0000 0.0000 0.0000

=====

Record 6
15
Lattice="-5.9378 -5.1496 2.1468 6.7313 -2.8249 -3.6194 0.3881 2.7741 7.7280" Properties=species:S:1:pos:R:3 comment="Pm3HoTm3Se8 | the Alexandria database | PBE | optimized geometry" vol_a3_per_cell=387.6 spacegroup="R-3m (166)" raw_formation_energy_ev_per_atom=-1.8287 pbc="T T T"
Se -0.9938 -4.5442 1.8122
Se 2.1755 -0.6562 4.4431
Se 2.0238 -2.0196 0.7532
Se 5.4582 -2.0324 2.6790
Se -0.8422 -3.1808 5.5021
Se -1.3799 -0.6558 2.5291
Se 2.5615 -4.5446 3.7262
Se -4.2765 -3.1679 3.5763
Pm 0.3968 -3.9872 -0.7363
Pm 0.0000 0.0000 0.0000
Pm 3.3657 -1.4125 -1.8097
Tm -2.7748 -1.1877 4.9374
Tm 0.5908 -2.6002 3.1277
Tm 3.5597 -0.0254 2.0543
Ho 0.1941 1.3871 3.8640

=====

Record 7
8
Lattice="-1.9722 0.6480 -2.8739 -2.7002 -1.7807 1.4515 -5.4315 13.8125 6.8416" Properties=species:S:1:pos:R:3 comment="Tb4Mg3Ru | the Alexandria database | PBE | optimized geometry" final_energy_ev_per_atom=-4.24 vol_a3_per_cell=205.4 spacegroup="P4/mmm (123)" pbc="T T T"
Mg -3.6428 2.7564 0.9346
Mg -5.0519 6.3399 2.7096
Mg -6.4611 9.9234 4.4846
Tb -4.8919 12.4402 6.1619
Tb -2.0142 5.1222 2.5371
Tb -3.4173 8.6903 4.3045
Tb -0.5396 1.3723 0.6797
Ru -2.3362 -0.5664 -0.7112

=====

Record 8
8
Lattice="6.7360 -0.0029 -0.0010 3.6082 5.2455 -0.0003 -0.0195 0.6330 4.1734" Properties=species:S:1:pos:R:3 comment="CuBSe2 | the Alexandria database | PBE | optimized geometry" vol_a3_per_cell=147.5 spacegroup="P1 (1)" raw_formation_energy_ev_per_atom=-0.0619 pbc="T T T"
Se 7.7202 2.1338 1.8243
Se 8.8279 5.2661 4.1174
Se 5.7836 4.1262 0.0144
Se 3.5435 1.9704 2.2551
B 7.3911 4.1663 1.3928
B 7.2325 5.1966 2.7217
Cu 7.2437 1.4266 4.0758
Cu 4.8597 1.8655 0.1667

=====

Record 9
80
Lattice="15.6470 0.0000 0.0000 -5.2157 14.7522 0.0000 -5.2157 -7.3761 12.7758" Properties=species:S:1:pos:R:3 comment="Nd12In5Au3 | the Alexandria database | PBE | optimized geometry" final_energy_ev_per_atom=-3.96 vol_a3_per_cell=2949.0 spacegroup="Ia-3d (230)" pbc="T T T"
Nd 0.0770 5.1944 5.4845
Nd -1.7368 -4.0208 9.3240
Nd 6.0868 -0.9789 7.5678
Nd -2.6848 -5.8406 11.9229
Nd 3.4789 6.3972 5.2080
Nd 2.0037 5.8757 8.4711
Nd 2.9518 9.2600 0.9034
Nd -2.6848 3.6589 8.1441
Nd 5.1387 2.1816 7.2912
Nd -1.7368 4.9997 11.0195
Nd 9.8273 0.7901 5.5350
Nd 4.6116 -1.5004 4.3046
Nd 6.9524 2.3764 1.7563
Nd -4.6116 6.5860 7.2408
Nd -0.6041 0.7103 2.9361
Nd -6.0868 4.0208 9.3240
Nd 2.9518 5.6518 1.1799
Nd 7.4795 7.5357 2.0832
Nd 3.2119 1.5004 4.3046
Nd 11.3024 3.3553 3.4517
Nd -4.3446 12.3758 1.7563
Nd -5.5597 0.1596 10.6925
Nd -0.3440 9.1004 1.1799
Nd 1.7368 0.9789 7.5678
Nd 2.2639 1.7243 11.5959
Nd 6.9524 11.3969 3.4517
Nd -3.2119 8.0864 9.8396
Nd 7.2194 8.1662 7.2408
Nd -2.2639 -0.1597 10.6925
Nd -5.2927 11.0350 4.6316
Nd 2.6848 -2.1816 7.2912
Nd -2.0037 -0.7901 5.5350
Nd 10.7753 7.2164 2.0832
Nd 9.5603 -4.9997 11.0195
Nd 10.3544 1.5355 0.8529
Nd 7.9005 3.7172 4.6316
Nd 7.9005 13.2166 0.8529
Nd -5.1387 5.8406 11.9229
Nd 5.5597 1.8840 11.8724
Nd -0.8711 8.3550 5.2080
Nd 5.5597 -1.7243 11.5959
Nd 2.2639 -1.8840 11.8724
Nd 5.8198 6.6658 9.8396
Nd -0.3440 5.4921 0.9034
Nd 10.5083 -3.6589 8.1441
Nd 0.6041 8.8765 8.4711
Nd 2.5309 9.5577 5.4845
Nd 8.4276 -0.7103 2.9361
Au -6.5196 7.3761 9.5818
Au 9.1274 10.1421 1.5970
Au 6.5196 0.9220 4.7909
Au -3.9118 2.7660 11.1788
Au 11.7353 0.0000 3.1939
Au -1.3039 6.4541 7.9848
Au 9.1274 4.6101 1.5970
Au -3.9118 -2.7660 11.1788
Au 3.9118 8.2981 7.9848
Au 1.3039 7.3761 3.1939
Au 1.3039 -0.9220 4.7909
Au 3.9118 0.0000 9.5818
In 3.9118 2.7660 1.5970
In 6.5196 6.4541 4.7909
In 7.8235 0.0000 0.0000
In -1.3039 3.6880 3.1939
In 5.2157 7.3761 0.0000
In 1.3039 -3.6880 9.5818
In 5.2157 -3.6880 6.3879
In -1.3039 0.9220 7.9848
In 6.5196 -4.6101 11.1788
In -2.6078 7.3761 0.0000
In 2.6078 3.6880 6.3879
In -1.3039 11.9861 1.5970
In -3.9118 8.2981 4.7909
In 0.0000 0.0000 0.0000
In 6.5196 3.6880 9.5818
In -2.6078 -3.6880 6.3879
In -5.2157 3.6880 6.3879
In 3.9118 11.0641 3.1939
In 1.3039 4.6101 11.1788
In 9.1274 -0.9220 7.9848

=====

Record 10
7
Lattice="4.3606 0.0000 0.0000 0.0000 4.3606 0.0000 0.0000 0.0000 11.7617" Properties=species:S:1:pos:R:3 comment="Pr2TmSb4 | the Alexandria database | PBE | optimized geometry" vol_a3_per_cell=223.6 spacegroup="P-4m2 (115)" raw_formation_energy_ev_per_atom=-0.8547 pbc="T T T"
Pr 2.1803 0.0000 8.3776
Pr 0.0000 2.1803 3.3841
Sb 2.1803 2.1803 5.8809
Sb 2.1803 0.0000 2.0605
Sb 0.0000 0.0000 5.8809
Sb 0.0000 2.1803 9.7012
Tm 2.1803 2.1803 0.0000

=====

Record 11
18
Lattice="9.7249 2.1691 1.5385 6.6888 7.3850 1.5385 6.6888 3.8934 6.4612" Properties=species:S:1:pos:R:3 comment="Pm2MnAl3Cu12 | the Alexandria database | PBE | optimized geometry" final_energy_ev_per_atom=-4.27 vol_a3_per_cell=298.4 spacegroup="R-3m (166)" pbc="T T T"
Cu 17.5548 8.2683 7.9309
Cu 5.5476 5.1793 1.6073
Cu 10.7985 6.2856 2.9889
Cu 17.5548 10.2184 5.1815
Cu 15.8591 11.1814 7.9309
Cu 12.3040 8.5488 4.5941
Cu 7.2433 2.2661 1.6073
Cu 10.7985 4.8988 4.9441
Cu 9.5926 6.9705 4.9441
Cu 12.3040 7.1619 6.5493
Cu 5.5476 3.2292 4.3567
Cu 13.5099 6.4771 4.5941
Pm 8.1329 4.7340 3.3578
Pm 14.9696 8.7135 6.1804
Al 3.3444 3.6925 0.7693
Al 4.8624 1.0846 0.7693
Al 3.3444 1.9467 3.2306
Mn 0.0000 0.0000 0.0000

=====

Record 12
6
Lattice="-1.1001 -3.3343 0.4264 3.3606 -1.1008 0.0621 0.2261 1.2943 10.7029" Properties=species:S:1:pos:R:3 comment="ErTm2Au3 | the Alexandria database | PBE | optimized geometry" final_energy_ev_per_atom=-4.78 vol_a3_per_cell=134.9 spacegroup="P4/mmm (123)" pbc="T T T"
Tm 1.1678 -2.0026 2.0219
Tm 1.3188 -1.1383 9.1695
Au 0.0750 0.4292 3.5495
Au 0.1511 0.8650 7.1534
Au 0.0000 0.0000 0.0000
Er 1.2433 -1.5704 5.5957